(1)
Compound: AcPF
Source: Alexandria
Functional: GGA-PBE
Structure: optimized geometry

a b c (Å): 4.183 4.183 14.694
angles (deg): 90.00 90.00 87.03
Sites, in units of the cell vectors:
Ac (0.126, 0.874, 0.865)
Ac (0.374, 0.626, 0.365)
Ac (0.626, 0.374, 0.635)
Ac (0.874, 0.126, 0.135)
P (0.118, 0.882, 0.560)
P (0.382, 0.618, 0.060)
P (0.618, 0.382, 0.940)
P (0.882, 0.118, 0.440)
F (0.115, 0.385, 0.750)
F (0.385, 0.115, 0.250)
F (0.615, 0.885, 0.750)
F (0.885, 0.615, 0.250)

Output
Energy above the lowest structure with this stoichiometry, meV per atom: 0.0
DFT total energy, eV per atom: -6.28
Uncorrected formation energy, eV per atom: -2.486



(2)
Compound: Tb2SmDy4Tm
Source: Alexandria
Functional: GGA-PBE
Structure: optimized geometry

a b c (Å): 5.015 5.015 10.044
angles (deg): 90.00 90.00 90.00
Sites, in units of the cell vectors:
Tb (0.000, 0.000, 0.000)
Tb (0.500, 0.500, 0.500)
Sm (0.000, 0.000, 0.500)
Dy (0.000, 0.500, 0.248)
Dy (0.000, 0.500, 0.752)
Dy (0.500, 0.000, 0.248)
Dy (0.500, 0.000, 0.752)
Tm (0.500, 0.500, 0.000)

Output
DFT total energy, eV per atom: -4.59
ΔE_f, eV/atom: 0.02



(3)
Compound: LiAc2Ni4Sn3
Source: Alexandria
Functional: GGA-PBE
Structure: optimized geometry

a b c (Å): 4.498 4.498 10.439
angles (deg): 90.00 90.00 90.00
Sites, in units of the cell vectors:
Li (0.000, 0.000, 0.000)
Ac (0.000, 0.500, 0.746)
Ac (0.500, 0.000, 0.254)
Ni (0.000, 0.000, 0.500)
Ni (0.000, 0.500, 0.130)
Ni (0.500, 0.000, 0.870)
Ni (0.500, 0.500, 0.500)
Sn (0.000, 0.500, 0.378)
Sn (0.500, 0.000, 0.622)
Sn (0.500, 0.500, 0.000)

Output
DFT total energy, eV per atom: -4.97
ΔE_f, eV/atom: -0.44



(4)
Compound: Mg2ZrRh
Source: Alexandria
Functional: GGA-PBE
Structure: optimized geometry

a b c (Å): 10.748 10.748 10.748
angles (deg): 158.98 158.98 29.90
Sites, in units of the cell vectors:
Mg (0.112, 0.625, 0.987)
Mg (0.375, 0.362, 0.487)
Mg (0.638, 0.125, 0.013)
Mg (0.875, 0.888, 0.513)
Zr (0.250, 0.750, 0.500)
Zr (0.500, 0.500, 0.000)
Rh (0.000, 0.000, 0.000)
Rh (0.750, 0.250, 0.500)

Output
DFT total energy, eV per atom: -4.79
ΔE_f, eV/atom: -0.02



(5)
Compound: NpFeRh6
Source: Alexandria
Functional: GGA-PBE
Structure: optimized geometry

a b c (Å): 5.533 5.533 3.931
angles (deg): 90.00 90.00 90.00
Sites, in units of the cell vectors:
Np (0.000, 0.000, 0.000)
Fe (0.500, 0.500, 0.000)
Rh (0.000, 0.500, 0.000)
Rh (0.254, 0.254, 0.500)
Rh (0.254, 0.746, 0.500)
Rh (0.500, 0.000, 0.000)
Rh (0.746, 0.254, 0.500)
Rh (0.746, 0.746, 0.500)

Output
DFT total energy, eV per atom: -8.39
ΔE_f, eV/atom: -0.20



(6)
Compound: Y2InBRu
Source: Alexandria
Functional: GGA-PBE
Structure: optimized geometry

a b c (Å): 5.120 5.120 4.023
angles (deg): 90.00 90.00 90.00
Sites, in units of the cell vectors:
Y (0.000, 0.500, 0.000)
Y (0.500, 0.000, 0.000)
In (0.000, 0.000, 0.500)
B (0.500, 0.500, 0.000)
Ru (0.500, 0.500, 0.500)

Output
DFT total energy, eV per atom: -6.72
ΔE_f, eV/atom: -0.40